DFT (PBE-GGA) results for an optimized crystal structure of CsAg2Cl6.

Structure (extended XYZ):
```
9
Lattice="6.785 0.000 0.000 -3.392 5.876 0.000 0.000 0.000 7.647" Properties=species:S:1:pos:R:3 pbc="T T T"
Cs 0.000 0.000 0.000
Ag 0.000 3.917 3.824
Ag 3.392 1.959 3.824
Cl -1.294 2.242 5.294
Cl -2.098 3.634 2.353
Cl 2.588 0.000 5.294
Cl 1.294 2.242 2.353
Cl 4.196 0.000 2.353
Cl 2.098 3.634 5.294
```

Properties
The density of states at the Fermi level is 10.09 states/eV/cell. The calculation puts the total energy at -2.562 eV/atom. Its space-group type is P-31m, No. 162. The uncorrected formation energy comes out at -0.6025 eV per atom.

DFT (PBE-GGA) results for an optimized crystal structure of CsAg6Cl8.

Structure (extended XYZ):
```
15
Lattice="5.538 3.198 3.936 -5.538 3.198 3.936 0.000 -6.395 3.936" Properties=species:S:1:pos:R:3 pbc="T T T"
Cs 0.000 0.000 0.000
Ag -0.902 -2.035 4.854
Ag -2.214 -0.236 6.954
Ag -1.311 1.799 4.854
Ag 1.311 -1.799 6.954
Ag 2.214 0.236 4.854
Ag 0.902 2.035 6.954
Cl -3.686 0.258 5.015
Cl -2.066 -3.063 6.793
Cl 0.000 0.000 3.628
Cl 1.620 -3.321 5.015
Cl -1.620 3.321 6.793
Cl 0.000 0.000 8.180
Cl 2.066 3.063 5.015
Cl 3.686 -0.258 6.793
```

Properties
The density of states at the Fermi level is 7.90 states/eV/cell. The calculation puts the total energy at -2.816 eV/atom. Its space-group type is R-3, No. 148. The uncorrected formation energy comes out at -0.6341 eV per atom.

DFT (PBE-GGA) results for an optimized crystal structure of CsAg7Cl12.

Structure (extended XYZ):
```
20
Lattice="-4.985 4.985 4.985 4.985 -4.985 4.985 4.985 4.985 -4.985" Properties=species:S:1:pos:R:3 pbc="T T T"
Cs 0.000 0.000 0.000
Ag 2.493 2.493 -2.493
Ag 2.493 -2.493 2.493
Ag 4.985 0.000 0.000
Ag -2.493 2.493 2.493
Ag 0.000 4.985 0.000
Ag 0.000 0.000 4.985
Ag 2.493 2.493 2.493
Cl 4.985 -1.817 3.215
Cl 3.168 1.771 0.000
Cl 6.802 1.771 0.000
Cl 3.215 4.985 -1.817
Cl 1.771 0.000 3.168
Cl 0.000 3.168 1.771
Cl 4.985 1.817 3.215
Cl 3.215 4.985 1.817
Cl 1.771 0.000 6.802
Cl -1.817 3.215 4.985
Cl 1.817 3.215 4.985
Cl 0.000 6.802 1.771
```

Properties
The density of states at the Fermi level is 20.58 states/eV/cell. The calculation puts the total energy at -2.706 eV/atom. Its space-group type is Im-3, No. 204. The uncorrected formation energy comes out at -0.5577 eV per atom.

Question: Which formula does entry 2 have?
Answer: CsAg6Cl8

Question: Which formula does entry 2 have?
Answer: CsAg6Cl8